LuZn2Pd: relaxed, PBE.

Lattice parameters (Å, degrees): 6.531 6.531 6.531 90.00 90.00 90.00
Space group F-43m (No. 216)
Unique sites:
Lu 0.000 0.000 0.000 x4
Zn 0.000 0.000 0.500 x4
Zn 0.250 0.250 0.250 x4
Pd 0.250 0.250 0.750 x4

Summary:
Formation energy from the elements, eV per atom: -0.507